Record 1
The following is a DFT calculation (GGA-PBE) of an optimized crystal structure of YGaHg.

Calculated values
M_tot	0.00	μB per formula unit
symmetry	No. 62
final energy	-0.1351	Ha/atom
density of states at the Fermi level	4.24	states/eV per cell
energy relative to the elements	-0.412	eV/atom

Cell lengths 8.7917, 6.2266, 5.0960 Å; angles 90.00, 90.00, 90.00 degrees
Atoms (fractional coordinates):
1 Y 0.3346 0.2500 0.0011
2 Y 0.1654 0.7500 0.5011
3 Y 0.6654 0.7500 0.9989
4 Y 0.8346 0.2500 0.4989
5 Hg 0.6682 0.2500 0.9989
6 Hg 0.8318 0.7500 0.4989
7 Hg 0.3318 0.7500 0.0011
8 Hg 0.1682 0.2500 0.5011
9 Ga 0.0000 0.0000 0.0000
10 Ga 0.5000 0.5000 0.5000
11 Ga 0.5000 0.0000 0.5000
12 Ga 0.0000 0.5000 0.0000

Record 2
The following is a DFT calculation (GGA-PBE) of an optimized crystal structure of YGaHg.

Calculated values
M_tot	0.00	μB per formula unit
symmetry	No. 2
final energy	-0.1383	Ha/atom
density of states at the Fermi level	3.53	states/eV per cell
energy relative to the elements	-0.500	eV/atom

Cell lengths 6.0198, 5.8109, 4.6812 Å; angles 113.59, 112.89, 86.17 degrees
Atoms (fractional coordinates):
1 Y 0.2811 0.0786 0.5548
2 Y 0.7811 0.5786 0.0547
3 Hg 0.9041 0.0084 0.8314
4 Hg 0.6580 0.1488 0.2780
5 Ga 0.2568 0.6877 0.8477
6 Ga 0.3053 0.4694 0.2620